# 1
Here is a relaxed Hf4Si2CN crystal from OQMD via LeMat-Bulk. Energies are from PBE-GGA.

Summary:
- symmetry = P-3m1, No. 164

```
8
Lattice="3.2368 0.0000 0.0000 -1.6184 2.8031 0.0000 0.0000 0.0000 13.3938" Properties=species:S:1:pos:R:3 pbc="T T T"
Hf 0.0000 1.8688 1.2803
Hf 0.0000 1.8688 5.4331
Hf 1.6184 0.9344 7.9608
Hf 1.6184 0.9344 12.1136
Si 0.0000 1.8688 10.0320
Si 1.6184 0.9344 3.3618
C 0.0000 0.0000 0.0000
N 0.0000 0.0000 6.6969
```

# 2
Here is a relaxed K3NbS4O16 crystal from OQMD via LeMat-Bulk. Energies are from PBE-GGA.

Summary:
- symmetry = Pnma, No. 62

```
96
Lattice="7.6716 0.0000 0.0000 0.0000 12.3686 0.0000 0.0000 0.0000 14.3346" Properties=species:S:1:pos:R:3 pbc="T T T"
K 0.7639 0.1193 3.2964
K 0.7639 6.0650 3.2964
K 1.0184 3.0921 13.3280
K 2.8174 9.2764 6.1607
K 3.0720 6.3036 10.4637
K 3.0720 12.2493 10.4637
K 4.5997 0.1193 3.8710
K 4.5997 6.0650 3.8710
K 4.8542 3.0921 8.1739
K 6.6532 9.2764 1.0066
K 6.9078 6.3036 11.0383
K 6.9078 12.2493 11.0383
Nb 1.1422 3.0921 6.9949
Nb 2.6936 9.2764 14.1622
Nb 4.9780 3.0921 0.1724
Nb 6.5295 9.2764 7.3398
S 0.6132 9.2764 9.5267
S 0.9551 3.0921 9.8203
S 1.7471 6.6723 13.9558
S 1.7471 11.8806 13.9558
S 2.0888 0.4880 6.7885
S 2.0888 5.6963 6.7885
S 2.8807 9.2764 2.6530
S 3.2226 3.0921 2.3594
S 4.4490 9.2764 11.9752
S 4.7909 3.0921 11.6816
S 5.5829 6.6723 7.5461
S 5.5829 11.8806 7.5461
S 5.9246 0.4880 0.3788
S 5.9246 5.6963 0.3788
S 6.7165 9.2764 4.5143
S 7.0585 3.0921 4.8079
O 0.1376 9.2764 5.5839
O 0.6885 1.0880 7.0818
O 0.6885 5.0963 7.0818
O 0.9188 9.2764 8.0266
O 0.9305 1.8803 10.6164
O 0.9305 4.3040 10.6164
O 0.9361 3.0921 4.9148
O 1.0287 8.0270 13.7385
O 1.0287 10.5259 13.7385
O 1.0579 8.0563 10.1589
O 1.0579 10.4966 10.1589
O 1.2666 0.2153 0.7797
O 1.2666 5.9690 0.7797
O 1.6594 9.2764 1.7158
O 1.7488 0.2896 12.7360
O 1.7488 5.8947 12.7360
O 2.0871 6.4739 5.5686
O 2.0871 12.0790 5.5686
O 2.1764 3.0921 8.8831
O 2.5692 6.3996 7.9470
O 2.5692 12.1533 7.9470
O 2.7779 1.8720 2.9916
O 2.7779 4.3123 2.9916
O 2.8071 1.8427 6.5712
O 2.8071 4.3416 6.5712
O 2.8997 9.2764 12.0821
O 2.9053 8.0646 3.4491
O 2.9053 10.4883 3.4491
O 2.9171 3.0921 0.8593
O 3.1473 7.2723 14.2491
O 3.1473 11.2806 14.2491
O 3.6983 3.0921 12.7512
O 3.9734 9.2764 1.5834
O 4.5243 1.0880 0.0855
O 4.5243 5.0963 0.0855
O 4.7546 9.2764 13.4754
O 4.7664 1.8803 10.8855
O 4.7664 4.3040 10.8855
O 4.7720 3.0921 2.2525
O 4.8645 8.0270 7.7635
O 4.8645 10.5259 7.7635
O 4.8937 8.0563 11.3431
O 4.8937 10.4966 11.3431
O 5.1024 0.2153 6.3876
O 5.1024 5.9690 6.3876
O 5.4953 9.2764 5.4516
O 5.5846 0.2896 8.7660
O 5.5846 5.8947 8.7660
O 5.9229 6.4739 1.5987
O 5.9229 12.0790 1.5987
O 6.0122 3.0921 12.6189
O 6.4051 6.3996 13.5549
O 6.4051 12.1533 13.5549
O 6.6137 1.8720 4.1757
O 6.6137 4.3123 4.1757
O 6.6429 1.8427 0.5961
O 6.6429 4.3416 0.5961
O 6.7355 9.2764 9.4199
O 6.7411 8.0646 3.7182
O 6.7411 10.4883 3.7182
O 6.7529 3.0921 6.3081
O 6.9831 7.2723 7.2528
O 6.9831 11.2806 7.2528
O 7.5341 3.0921 8.7507
```

# 3
Here is a relaxed Tm5BiPt2 crystal from OQMD via LeMat-Bulk. Energies are from PBE-GGA.

Summary:
- symmetry = I4/mcm, No. 140

```
16
Lattice="-3.8584 3.8584 6.7950 3.8584 -3.8584 6.7950 3.8584 3.8584 -6.7950" Properties=species:S:1:pos:R:3 pbc="T T T"
Tm 0.0000 0.0000 0.0000
Tm 5.0582 1.1998 -1.8615
Tm 1.1998 2.6586 -1.8615
Tm 5.0582 1.1998 1.8615
Tm 1.1998 2.6586 1.8615
Tm 0.0000 0.0000 6.7950
Tm 2.6586 1.1998 4.9335
Tm -1.1998 2.6586 4.9335
Tm 2.6586 1.1998 8.6565
Tm -1.1998 2.6586 8.6565
Bi 0.0000 0.0000 3.3975
Bi 0.0000 0.0000 10.1925
Pt 2.7822 1.0762 0.0000
Pt 2.7822 -1.0762 6.7950
Pt 1.0762 4.9346 0.0000
Pt 1.0762 2.7822 6.7950
```

# 4
Here is a relaxed BaCdSO crystal from OQMD via LeMat-Bulk. Energies are from PBE-GGA.

Summary:
- symmetry = P4/nmm, No. 129

```
8
Lattice="5.9055 0.0000 0.0000 0.0000 5.9055 0.0000 0.0000 0.0000 7.2949" Properties=species:S:1:pos:R:3 pbc="T T T"
Ba 1.4764 4.4291 0.0000
Ba 4.4291 1.4764 0.0000
Cd 1.4764 1.4764 2.4104
Cd 4.4291 4.4291 4.8845
S 1.4764 1.4764 6.2083
S 4.4291 4.4291 1.0867
O 1.4764 1.4764 4.5632
O 4.4291 4.4291 2.7318
```

Quick rundown of DFT total energy, same order as above: -75.9 -150.9 -46.1 -15.2 eV/f.u.